Ca3Ni2Ge3O12 (PBE with a Hubbard U, relaxed); electronic total energy = -6.140 eV/atom; total moment = 0.099 μB per atom; symmetry = No. 230
1.0
-6.209 6.209 6.209
6.209 -6.209 6.209
6.209 6.209 -6.209
Ca Ni Ge O
12 8 12 48
Direct
0.125 0.250 0.375
0.125 0.375 0.750
0.250 0.375 0.125
0.250 0.875 0.625
0.375 0.125 0.250
0.375 0.750 0.125
0.625 0.250 0.875
0.625 0.875 0.750
0.750 0.125 0.375
0.750 0.625 0.875
0.875 0.625 0.250
0.875 0.750 0.625
0.000 0.000 0.000
0.000 0.000 0.500
0.000 0.500 0.000
0.000 0.500 0.500
0.500 0.000 0.000
0.500 0.000 0.500
0.500 0.500 0.000
0.500 0.500 0.500
0.125 0.750 0.875
0.125 0.875 0.250
0.250 0.125 0.875
0.250 0.625 0.375
0.375 0.250 0.625
0.375 0.625 0.750
0.625 0.375 0.250
0.625 0.750 0.375
0.750 0.375 0.625
0.750 0.875 0.125
0.875 0.125 0.750
0.875 0.250 0.125
0.019 0.204 0.120
0.019 0.315 0.899
0.085 0.704 0.685
0.085 0.880 0.399
0.101 0.620 0.415
0.101 0.981 0.685
0.120 0.019 0.204
0.120 0.601 0.915
0.185 0.204 0.585
0.185 0.481 0.601
0.204 0.120 0.019
0.204 0.585 0.185
0.296 0.315 0.915
0.296 0.481 0.380
0.315 0.899 0.019
0.315 0.915 0.296
0.380 0.296 0.481
0.380 0.585 0.899
0.399 0.085 0.880
0.399 0.815 0.519
0.415 0.101 0.620
0.415 0.815 0.796
0.481 0.380 0.296
0.481 0.601 0.185
0.519 0.399 0.815
0.519 0.620 0.704
0.585 0.185 0.204
0.585 0.899 0.380
0.601 0.185 0.481
0.601 0.915 0.120
0.620 0.415 0.101
0.620 0.704 0.519
0.685 0.085 0.704
0.685 0.101 0.981
0.704 0.519 0.620
0.704 0.685 0.085
0.796 0.415 0.815
0.796 0.880 0.981
0.815 0.519 0.399
0.815 0.796 0.415
0.880 0.399 0.085
0.880 0.981 0.796
0.899 0.019 0.315
0.899 0.380 0.585
0.915 0.120 0.601
0.915 0.296 0.315
0.981 0.685 0.101
0.981 0.796 0.880



CaNiGe2O6 (PBE with a Hubbard U, relaxed); electronic total energy = -6.257 eV/atom; total moment = 0.200 μB per atom; symmetry = No. 15
1.0
5.115 -4.517 0.000
5.115 4.517 0.000
-1.449 0.000 5.279
Ca Ni Ge O
2 2 4 12
Direct
0.198 0.802 0.750
0.802 0.198 0.250
0.411 0.589 0.250
0.589 0.411 0.750
0.117 0.314 0.778
0.314 0.117 0.278
0.686 0.883 0.722
0.883 0.686 0.222
0.109 0.172 0.022
0.127 0.601 0.342
0.172 0.109 0.522
0.302 0.483 0.868
0.399 0.873 0.158
0.483 0.302 0.368
0.517 0.698 0.632
0.601 0.127 0.842
0.698 0.517 0.132
0.828 0.891 0.478
0.873 0.399 0.658
0.891 0.828 0.978



CaNiGe2O (PBE with a Hubbard U, relaxed); electronic total energy = -3.920 eV/atom; total moment = 0.108 μB per atom; symmetry = No. 123
1.0
4.770 0.000 0.000
0.000 4.770 0.000
0.000 0.000 3.846
Ca Ni Ge O
1 1 2 1
Direct
0.000 0.000 0.000
0.500 0.500 0.000
0.000 0.500 0.500
0.500 0.000 0.500
0.500 0.500 0.500